# LiCaTc

LiCaTc at its PBEsol-relaxed geometry (SCAN, Alexandria via LeMat-Bulk).

CIF file:
```
data_LiCaTc
_chemical_formula_sum 'Li2 Ca2 Tc2'
_space_group_name_H-M_alt 'I 4 m m'
_space_group_IT_number 107
_space_group_name_Hall 'I 4 -2'
_cell_length_a 2.730
_cell_length_b 2.730
_cell_length_c 14.823
_cell_angle_alpha 90.00
_cell_angle_beta 90.00
_cell_angle_gamma 90.00
loop_
_atom_site_label
_atom_site_type_symbol
_atom_site_fract_x
_atom_site_fract_y
_atom_site_fract_z
Li1 Li 0.000 0.000 0.000
Ca1 Ca 0.000 0.000 0.300
Tc1 Tc 0.000 0.000 0.642
```

Properties
The mass density is 4.36 g cm⁻³. For the energy relative to the elements, the calculation gives 609 meV per atom. The value obtained for the electronic total energy is -15.0953 eV/atom. The magnetic moment comes out at 0.000 μB per atom. The value obtained for the calculated volume is 110.50 Å³/cell.

# BRh3F

BRh3F at its PBEsol-relaxed geometry (SCAN, Alexandria via LeMat-Bulk).

CIF file:
```
data_BRh3F
_chemical_formula_sum 'B1 Rh3 F1'
_space_group_name_H-M_alt 'P m -3 m'
_space_group_IT_number 221
_space_group_name_Hall '-P 4 2 3'
_cell_length_a 4.024
_cell_length_b 4.024
_cell_length_c 4.024
_cell_angle_alpha 90.00
_cell_angle_beta 90.00
_cell_angle_gamma 90.00
loop_
_atom_site_label
_atom_site_type_symbol
_atom_site_fract_x
_atom_site_fract_y
_atom_site_fract_z
B1 B 0.000 0.000 0.000
Rh1 Rh 0.000 0.000 0.500
F1 F 0.500 0.500 0.500
```

Properties
The mass density is 8.63 g cm⁻³. The value obtained for the electronic total energy is -22.2101 eV/atom. The calculation puts the relative energy among the computed polymorphs at 0.000 eV per atom. The calculation puts the uncorrected formation energy at 1.234 eV per formula unit. The magnetic moment comes out at 0.126 μB per atom. The value obtained for the calculated volume is 65.15 Å³/cell.

# Sr2InAs2

Sr2InAs2 at its PBEsol-relaxed geometry (SCAN, Alexandria via LeMat-Bulk).

CIF file:
```
data_Sr2InAs2
_chemical_formula_sum 'Sr4 In2 As4'
_space_group_name_H-M_alt 'P 4/m b m'
_space_group_IT_number 127
_space_group_name_Hall '-P 4 2ab'
_cell_length_a 7.821
_cell_length_b 7.821
_cell_length_c 4.402
_cell_angle_alpha 90.00
_cell_angle_beta 90.00
_cell_angle_gamma 90.00
loop_
_atom_site_label
_atom_site_type_symbol
_atom_site_fract_x
_atom_site_fract_y
_atom_site_fract_z
Sr1 Sr 0.179 0.321 0.000
In1 In 0.000 0.000 0.500
As1 As 0.115 0.615 0.500
```

Properties
The mass density is 5.43 g cm⁻³. For the energy relative to the elements, the calculation gives -937 meV per atom. The value obtained for the electronic total energy is -24.6008 eV/atom. The calculation puts the relative energy among the computed polymorphs at 0.000 eV per atom. The magnetic moment comes out at 0.000 μB per atom. The value obtained for the calculated volume is 269.28 Å³/cell.

# InNi3Pd

InNi3Pd at its PBEsol-relaxed geometry (SCAN, Alexandria via LeMat-Bulk).

CIF file:
```
data_InNi3Pd
_chemical_formula_sum 'In1 Ni3 Pd1'
_space_group_name_H-M_alt 'P m -3 m'
_space_group_IT_number 221
_space_group_name_Hall '-P 4 2 3'
_cell_length_a 4.488
_cell_length_b 4.488
_cell_length_c 4.488
_cell_angle_alpha 90.00
_cell_angle_beta 90.00
_cell_angle_gamma 90.00
loop_
_atom_site_label
_atom_site_type_symbol
_atom_site_fract_x
_atom_site_fract_y
_atom_site_fract_z
In1 In 0.000 0.000 0.000
Ni1 Ni 0.000 0.500 0.500
Pd1 Pd 0.500 0.500 0.500
```

Properties
The mass density is 7.30 g cm⁻³. For the energy relative to the elements, the calculation gives 1068 meV per atom. The value obtained for the electronic total energy is -21.8678 eV/atom. The magnetic moment comes out at 0.627 μB per atom. The value obtained for the calculated volume is 90.37 Å³/cell.

# CrTeRh

CrTeRh at its PBEsol-relaxed geometry (SCAN, Alexandria via LeMat-Bulk).

CIF file:
```
data_CrTeRh
_chemical_formula_sum 'Cr1 Te1 Rh1'
_space_group_name_H-M_alt 'P -6 m 2'
_space_group_IT_number 187
_space_group_name_Hall 'P -6 2'
_cell_length_a 4.3485
_cell_length_b 4.3485
_cell_length_c 3.1182
_cell_angle_alpha 90.00
_cell_angle_beta 90.00
_cell_angle_gamma 120.00
loop_
_atom_site_label
_atom_site_type_symbol
_atom_site_fract_x
_atom_site_fract_y
_atom_site_fract_z
Cr1 Cr 0.0000 0.0000 0.0000
Te1 Te 0.3333 0.6667 0.5000
Rh1 Rh 0.6667 0.3333 0.5000
```

Properties
The mass density is 9.19 g cm⁻³. The value obtained for the electronic total energy is -29.9126 eV/atom. The calculation puts the uncorrected formation energy at -0.331 eV per formula unit. The magnetic moment comes out at 1.242 μB per atom. The value obtained for the calculated volume is 51.06 Å³/cell.

# TaCdRu2

TaCdRu2 at its PBEsol-relaxed geometry (SCAN, Alexandria via LeMat-Bulk).

CIF file:
```
data_TaCdRu2
_chemical_formula_sum 'Ta2 Cd2 Ru4'
_space_group_name_H-M_alt 'C 1 m 1'
_space_group_IT_number 8
_cell_length_a 9.880
_cell_length_b 2.957
_cell_length_c 4.596
_cell_angle_alpha 90.00
_cell_angle_beta 111.89
_cell_angle_gamma 90.00
loop_
_space_group_symop_operation_xyz
'x,y,z'
'x,-y,z'
'x+1/2,y+1/2,z'
'x+1/2,-y+1/2,z'
loop_
_atom_site_label
_atom_site_type_symbol
_atom_site_fract_x
_atom_site_fract_y
_atom_site_fract_z
Ta1 Ta 0.000 0.000 0.000
Cd1 Cd 0.230 0.000 0.621
Ru1 Ru 0.249 0.500 0.130
Ru2 Ru 0.476 0.000 0.480
```

Properties
The mass density is 13.21 g cm⁻³. For the energy relative to the elements, the calculation gives 73 meV per atom. The value obtained for the electronic total energy is -41.5893 eV/atom. The magnetic moment comes out at 0.000 μB per atom. The value obtained for the calculated volume is 124.59 Å³/cell.